{"formula": "LiTl2", "functional": "PBE", "state": "optimized geometry", "lattice": [[4.899, 0.000, 0.000], [0.000, 6.524, 0.000], [0.000, 0.000, 9.318]], "species": ["Tl", "Tl", "Tl", "Tl", "Tl", "Tl", "Tl", "Tl", "Li", "Li", "Li", "Li"], "fractional_positions": [[0.750, 0.959, 0.218], [0.750, 0.830, 0.566], [0.250, 0.170, 0.434], [0.750, 0.459, 0.282], [0.250, 0.541, 0.718], [0.750, 0.330, 0.934], [0.250, 0.670, 0.066], [0.250, 0.041, 0.782], [0.750, 0.316, 0.605], [0.250, 0.184, 0.105], [0.750, 0.816, 0.895], [0.250, 0.684, 0.395]], "delta_e_f_mev_per_atom": -124, "total_energy_ev_per_atom": -2.339, "de_polymorph_ev_per_fu": 0.034}

***

{"formula": "AcAl3Ga3", "functional": "PBE", "state": "optimized geometry", "lattice": [[-3.022, 5.701, -2.772], [-3.194, -4.022, -4.789], [-5.475, -0.800, 4.324]], "species": ["Al", "Al", "Al", "Al", "Al", "Al", "Ga", "Ga", "Ga", "Ga", "Ga", "Ga", "Ac", "Ac"], "fractional_positions": [[0.250, 0.000, 0.500], [0.500, 0.250, 0.000], [0.000, 0.500, 0.750], [0.000, 0.500, 0.250], [0.500, 0.750, 0.000], [0.750, 0.000, 0.500], [0.000, 0.750, 0.500], [0.500, 0.000, 0.750], [0.500, 0.000, 0.250], [0.000, 0.250, 0.500], [0.750, 0.500, 0.000], [0.250, 0.500, 0.000], [0.500, 0.500, 0.500], [0.000, 0.000, 0.000]], "delta_e_f_mev_per_atom": 16, "total_energy_ev_per_atom": -3.472, "de_polymorph_ev_per_fu": 1.454}

***

{"formula": "SmTlPd3", "functional": "PBE", "state": "optimized geometry", "lattice": [[-3.934, -5.252, 1.469], [4.189, -1.450, 5.057], [-1.277, 6.601, 0.120]], "species": ["Tl", "Tl", "Pd", "Pd", "Pd", "Pd", "Pd", "Pd", "Sm", "Sm"], "fractional_positions": [[0.500, 0.500, 0.000], [0.500, 0.000, 0.500], [0.000, 0.687, 0.187], [0.500, 0.687, 0.687], [0.706, 0.956, 0.250], [0.000, 0.313, 0.813], [0.294, 0.044, 0.750], [0.500, 0.313, 0.313], [0.993, 0.743, 0.750], [0.007, 0.257, 0.250]], "delta_e_f_mev_per_atom": -470, "total_energy_ev_per_atom": -5.002}

***

{"formula": "BaSm3Pd", "functional": "PBE", "state": "optimized geometry", "lattice": [[5.733, 0.000, 0.000], [0.000, 5.733, 0.000], [0.000, 0.000, 5.733]], "species": ["Ba", "Sm", "Sm", "Sm", "Pd"], "fractional_positions": [[0.500, 0.500, 0.500], [0.000, 0.500, 0.000], [0.000, 0.000, 0.500], [0.500, 0.000, 0.000], [0.000, 0.000, 0.000]], "delta_e_f_mev_per_atom": -132, "total_energy_ev_per_atom": -4.387}

***

{"formula": "Sm3Cd5Hg2", "functional": "PBE", "state": "optimized geometry", "lattice": [[-0.163, -6.326, 0.249], [6.650, -3.092, 6.334], [-6.901, -2.747, 6.225]], "species": ["Cd", "Cd", "Cd", "Cd", "Cd", "Cd", "Cd", "Cd", "Cd", "Cd", "Hg", "Hg", "Hg", "Hg", "Sm", "Sm", "Sm", "Sm", "Sm", "Sm"], "fractional_positions": [[0.129, 0.511, 0.231], [0.997, 0.253, 0.253], [0.629, 0.231, 0.511], [0.750, 0.500, 0.500], [0.003, 0.747, 0.747], [0.503, 0.747, 0.747], [0.497, 0.253, 0.253], [0.871, 0.489, 0.769], [0.250, 0.500, 0.500], [0.371, 0.769, 0.489], [0.624, 0.033, 0.719], [0.376, 0.967, 0.281], [0.124, 0.719, 0.033], [0.876, 0.281, 0.967], [0.875, 0.862, 0.388], [0.750, 0.000, 0.000], [0.125, 0.138, 0.612], [0.625, 0.612, 0.138], [0.250, 0.000, 0.000], [0.375, 0.388, 0.862]], "delta_e_f_mev_per_atom": -191, "total_energy_ev_per_atom": -2.125}

***

{"formula": "Fe2TeW", "functional": "PBE", "state": "optimized geometry", "lattice": [[3.291, 0.000, 0.000], [0.000, 4.408, 0.000], [0.000, 0.000, 4.160]], "species": ["Fe", "Fe", "Te", "W"], "fractional_positions": [[0.500, 0.500, 0.000], [0.000, 0.000, 0.000], [0.500, 0.000, 0.500], [0.000, 0.500, 0.500]], "formation_energy_uncorrected_ev_per_atom": 0.562, "total_energy_ev_per_atom": -7.693}